CsBaPt4: relaxed, PBE.

Cell and atoms, written as POSCAR:
```
CsBaPt4
1.0
0.0000 4.0476 4.0476
4.0476 0.0000 4.0476
4.0476 4.0476 0.0000
Cs Ba Pt
1 1 4
direct
0.0000 0.0000 0.0000
0.2500 0.2500 0.2500
0.1255 0.6248 0.6248
0.6248 0.1255 0.6248
0.6248 0.6248 0.1255
0.6248 0.6248 0.6248
```

final energy: -4.8529 eV/atom
E_form: -0.3630 eV per atom
Fermi-level density of states: 3.5 states/eV/cell
density: 13.2 Mg/m³

---

Li4Er3NpS8: relaxed, PBE.

Cell and atoms, written as POSCAR:
```
Li4Er3NpS8
1.0
6.4963 -3.8679 0.0000
6.4963 3.8679 0.0000
-4.3697 0.0000 6.3405
Li Er Np S
4 3 1 8
direct
0.0000 0.0000 0.0000
0.0000 0.5000 0.5000
0.5000 0.0000 0.5000
0.5000 0.5000 0.0000
0.0000 0.0000 0.5000
0.0000 0.5000 0.0000
0.5000 0.0000 0.0000
0.5000 0.5000 0.5000
0.2448 0.2448 0.2420
0.2447 0.7508 0.7479
0.2492 0.7553 0.2521
0.2526 0.2526 0.7546
0.7474 0.7474 0.2454
0.7508 0.2447 0.7479
0.7553 0.2492 0.2521
0.7552 0.7552 0.7580
```

formation energy from raw total energies: -1.72 eV/atom
final energy: -5.9218 eV/atom
Fermi-level density of states: 7.8 states/eV/cell
density: 5.3 Mg/m³

---

LaTb7Nd2: relaxed, PBE.

Cell and atoms, written as POSCAR:
```
LaTb7Nd2
1.0
4.3537 -8.2834 0.0000
4.3537 8.2834 0.0000
0.0000 0.0000 5.5463
La Tb Nd
1 7 2
direct
0.0000 0.0000 0.0000
0.0643 0.2911 0.5000
0.2158 0.7842 0.0000
0.2911 0.0643 0.5000
0.5000 0.5000 0.5000
0.7089 0.9357 0.5000
0.7842 0.2158 0.0000
0.9357 0.7089 0.5000
0.2972 0.7028 0.5000
0.7028 0.2972 0.5000
```

final energy: -4.0230 eV/atom
E_form: 0.6645 eV per atom
Fermi-level density of states: 14.6 states/eV/cell
density: 6.4 Mg/m³
energy above the lowest structure with this stoichiometry: 0.614 eV/atom

---

K2CdPt: relaxed, PBE.

Cell and atoms, written as POSCAR:
```
K2CdPt
1.0
3.3448 0.0000 0.0000
0.0000 3.3448 0.0000
0.0000 0.0000 10.4189
K Cd Pt
2 1 1
direct
0.0000 0.0000 0.2103
0.0000 0.0000 0.7897
0.5000 0.5000 0.5000
0.5000 0.5000 0.0000
```

final energy: -2.1438 eV/atom
E_form: 0.1439 eV per atom
Fermi-level density of states: 1.3 states/eV/cell
density: 5.5 Mg/m³
energy above the lowest structure with this stoichiometry: 0.292 eV/atom

---

LiSbRh: relaxed, PBE.

Cell and atoms, written as POSCAR:
```
LiSbRh
1.0
4.5678 0.0000 0.0000
-2.2839 3.9558 0.0000
0.0000 0.0000 5.6172
Li Sb Rh
2 2 2
direct
0.0000 0.0000 0.0000
0.0000 0.0000 0.5000
0.3333 0.6667 0.2500
0.6667 0.3333 0.7500
0.3333 0.6667 0.7500
0.6667 0.3333 0.2500
```

formation energy from raw total energies: -0.52 eV/atom
final energy: -4.9793 eV/atom
Fermi-level density of states: 2.3 states/eV/cell
density: 7.6 Mg/m³

---

CuSi2Ru: relaxed, PBE.

Cell and atoms, written as POSCAR:
```
CuSi2Ru
1.0
0.0000 2.5565 3.9245
2.5357 0.0000 3.9245
2.5357 2.5565 0.0000
Cu Si Ru
1 2 1
direct
0.0000 0.0000 0.0000
0.2500 0.2500 0.2500
0.5000 0.5000 0.5000
0.7500 0.7500 0.7500
```

formation energy from raw total energies: -0.14 eV/atom
final energy: -6.1988 eV/atom
Fermi-level density of states: 1.4 states/eV/cell
density: 7.2 Mg/m³
energy above the lowest structure with this stoichiometry: 0.139 eV/atom

---

SrBeTc2: relaxed, PBE.

Cell and atoms, written as POSCAR:
```
SrBeTc2
1.0
3.8746 0.0000 0.0000
0.0000 3.8746 0.0000
0.0000 0.0000 4.6498
Sr Be Tc
1 1 2
direct
0.0000 0.0000 0.0000
0.5000 0.5000 0.0000
0.0000 0.5000 0.5000
0.5000 0.0000 0.5000
```

final energy: -5.5144 eV/atom
E_form: 1.0206 eV per atom
Fermi-level density of states: 5.3 states/eV/cell
density: 7.0 Mg/m³

---

Ir2RhS2: relaxed, PBE.

Cell and atoms, written as POSCAR:
```
Ir2RhS2
1.0
-1.9007 1.9007 5.4307
1.9007 -1.9007 5.4307
1.9007 1.9007 -5.4307
Ir Rh S
2 1 2
direct
0.1192 0.1192 0.0000
0.8808 0.8808 0.0000
0.5000 0.5000 0.0000
0.2500 0.7500 0.5000
0.7500 0.2500 0.5000
```

formation energy from raw total energies: 0.50 eV/atom
final energy: -6.1639 eV/atom
Fermi-level density of states: 5.4 states/eV/cell
density: 11.7 Mg/m³
energy above the lowest structure with this stoichiometry: 0.000 eV/atom

---

Spin magnetization in μB per atom, matching the order above: 0.0000, 0.2503, 0.0000, 0.0000, 0.0000, 0.0000, 0.0001, 0.0000